(1)
Material: NbAlVFe
Method: DFT, PBE-GGA
State: optimized geometry

Cell: 6.118 6.118 6.118 Å, 90.00 90.00 90.00°
Space group F-43m (No. 216)
Inequivalent atoms, fractional coordinates:
Nb 0.000 0.000 0.000 (multiplicity 4)
Al 0.000 0.000 0.500 (multiplicity 4)
V 0.250 0.250 0.750 (multiplicity 4)
Fe 0.250 0.250 0.250 (multiplicity 4)

**Magnetic moment**: 12.0 μB per cell

(2)
Material: Nd2Al9Fe3
Method: DFT, PBE-GGA
State: optimized geometry

Cell: 13.076 7.449 10.587 Å, 90.00 114.48 90.00°
Space group C2/c (No. 15)
Inequivalent atoms, fractional coordinates:
Nd 0.170 0.083 0.249 (multiplicity 8)
Al 0.000 0.365 0.250 (multiplicity 4)
Al 0.060 0.085 0.932 (multiplicity 8)
Al 0.095 0.417 0.042 (multiplicity 8)
Al 0.104 0.315 0.747 (multiplicity 8)
Al 0.225 0.416 0.436 (multiplicity 8)
Fe 0.085 0.244 0.501 (multiplicity 8)
Fe 0.250 0.250 0.000 (multiplicity 4)

**Magnetic moment**: 10.1 μB per cell

(3)
Material: NdAlFe
Method: DFT, PBE-GGA
State: optimized geometry

Cell: 3.177 3.177 11.222 Å, 90.00 90.00 90.00°
Space group I4mm (No. 107)
Inequivalent atoms, fractional coordinates:
Nd 0.000 0.000 0.000 (multiplicity 2)
Al 0.000 0.000 0.272 (multiplicity 2)
Fe 0.000 0.000 0.675 (multiplicity 2)

**Magnetic moment**: 0.0 μB per cell

(4)
Material: NdAl2Fe
Method: DFT, PBE-GGA
State: optimized geometry

Cell: 4.1546 4.1546 16.0102 Å, 90.00 90.00 120.00°
Space group R-3m (No. 166, hexagonal axes)
Inequivalent atoms, fractional coordinates:
Nd 0.0000 0.0000 0.0000 (multiplicity 3)
Al 0.0000 0.0000 0.2031 (multiplicity 6)
Fe 0.0000 0.0000 0.5000 (multiplicity 3)

**Magnetic moment**: 0.0 μB per cell

no.,electronic total energy (eV for the cell shown)
1,-128.68
2,-295.61
3,-33.91
4,-65.01